# La3PmDy3

An optimized crystal structure of La3PmDy3 (GGA-PBE, Alexandria via LeMat-Bulk).

POSCAR file:
```
La3PmDy3
1.0
4.757 2.746 6.288
-4.757 2.746 6.288
0.000 -5.493 6.288
La Pm Dy
6 2 6
Direct
0.127 0.270 0.835
0.165 0.873 0.730
0.270 0.835 0.127
0.730 0.165 0.873
0.835 0.127 0.270
0.873 0.730 0.165
0.409 0.409 0.409
0.591 0.591 0.591
0.025 0.310 0.446
0.310 0.446 0.025
0.446 0.025 0.310
0.554 0.975 0.690
0.690 0.554 0.975
0.975 0.690 0.554
```

Results
Calculated formation energy = 0.129 eV per atom
Excess energy over the best structure of this formula in the dataset = 0.0 meV per atom
Density = 7.070 g/cm3